Entry from Alexandria: a relaxed structure of Lu2CCl2 (PBEsol).

Volume = 20.668 Å³ per atom
Magnetization = 0.0 μB per formula unit
Energy relative to the elements, uncorrected = -1.623 eV/atom
Theoretical density = 6.96 g/cm3
Space-group type = R-3m, No. 166

Cell lengths 3.5585, 3.5585, 9.6443 Å; angles 79.37, 79.37, 60.00 degrees
Last column: nearest neighbours and their distance in Å.
Fractional positions:
C  0.5000  0.5000  0.5000  6 Lu 2.42
Lu  0.1212  0.1212  0.6363  3 C 2.42, 3 Cl 2.67
Lu  0.8788  0.8788  0.3637  3 C 2.42, 3 Cl 2.67
Cl  0.7276  0.7276  0.8172  3 Lu 2.67
Cl  0.2724  0.2724  0.1828  3 Lu 2.67